Record 1
LiMo2Os | PBE | optimized geometry

Unit cell a=2.644 b=4.368 c=5.180 alpha=90.00 beta=101.89 gamma=90.00
Space group P2/m (No. 10)
Unique sites:
Li1 0.000 0.000 0.000 [1 per cell]
Mo1 0.246 0.500 0.753 [2 per cell]
Os1 0.500 0.000 0.500 [1 per cell]

Values from the calculation:
* Fermi-level density of states: 3.69 states/eV/f.u.
* calculated formation energy: 0.242 eV/atom

Record 2
LiMoOs | PBE | optimized geometry

Unit cell a=4.3344 b=4.3344 c=2.6122 alpha=90.00 beta=90.00 gamma=120.00
Space group P3m1 (No. 156)
Unique sites:
Li1 0.0000 0.0000 0.0000 [1 per cell]
Mo1 0.3333 0.6667 0.3640 [1 per cell]
Os1 0.6667 0.3333 0.6401 [1 per cell]

Values from the calculation:
* Fermi-level density of states: 1.89 states/eV/f.u.
* calculated formation energy: 0.132 eV/atom

Record 3
LiMo2Os | PBE | optimized geometry

Unit cell a=2.959 b=4.447 c=9.480 alpha=90.00 beta=90.00 gamma=90.00
Space group Cmmm (No. 65)
Unique sites:
Li1 0.000 0.000 0.000 [2 per cell]
Mo1 0.000 0.500 0.260 [4 per cell]
Os1 0.000 0.000 0.500 [2 per cell]

Values from the calculation:
* Fermi-level density of states: 5.01 states/eV/f.u.
* calculated formation energy: 0.389 eV/atom

Record 4
LiMo2Os | PBE | optimized geometry

Unit cell a=2.638 b=4.348 c=5.177 alpha=90.00 beta=98.09 gamma=90.00
Space group Pm (No. 6)
Unique sites:
Li1 0.000 0.000 0.000 [1 per cell]
Mo1 0.479 0.000 0.509 [1 per cell]
Mo2 0.712 0.500 0.236 [1 per cell]
Os1 0.247 0.500 0.757 [1 per cell]

Values from the calculation:
* Fermi-level density of states: 3.42 states/eV/f.u.
* calculated formation energy: 0.223 eV/atom

Record 5
LiMo2Os | PBE | optimized geometry

Unit cell a=2.751 b=3.973 c=5.358 alpha=90.00 beta=90.00 gamma=90.00
Space group Pmm2 (No. 25)
Unique sites:
Li1 0.000 0.000 0.000 [1 per cell]
Mo1 0.000 0.000 0.518 [1 per cell]
Mo2 0.500 0.500 0.229 [1 per cell]
Os1 0.500 0.500 0.758 [1 per cell]

Values from the calculation:
* Fermi-level density of states: 3.59 states/eV/f.u.
* calculated formation energy: 0.332 eV/atom

Record 6
LiMo2Os | PBE | optimized geometry

Unit cell a=3.065 b=4.437 c=8.673 alpha=90.00 beta=90.00 gamma=90.00
Space group Imm2 (No. 44)
Unique sites:
Li1 0.000 0.000 0.000 [2 per cell]
Mo1 0.000 0.000 0.504 [2 per cell]
Mo2 0.000 0.500 0.766 [2 per cell]
Os1 0.000 0.500 0.247 [2 per cell]

Values from the calculation:
* Fermi-level density of states: 3.03 states/eV/f.u.
* calculated formation energy: 0.262 eV/atom

Which E_tot belongs to each record? In order, -8.4595; -7.8599; -8.3127; -8.4784; -8.3695; -8.4394 eV per atom.
Which E above lowest polymorph belongs to each record? In order, 0.08; 0.00; 0.66; 0.00; 0.44; 0.16 eV per formula unit.